Density functional theory data (PBE-GGA) for a geometry-optimized KNbPbO4 structure. Values from VASP.

```
&SYSTEM
  ibrav = 0, nat = 14, ntyp = 4
/
ATOMIC_SPECIES
K 39.10 K.upf
Nb 92.91 Nb.upf
Pb 207.20 Pb.upf
O 16.00 O.upf
ATOMIC_POSITIONS crystal
K 0.7079 0.7500 0.9688
K 0.2921 0.2500 0.0312
Nb 0.2871 0.7500 0.2921
Nb 0.7129 0.2500 0.7079
Pb 0.8347 0.7500 0.5550
Pb 0.1653 0.2500 0.4450
O 0.8979 0.4897 0.7628
O 0.1021 0.9897 0.2372
O 0.1021 0.5103 0.2372
O 0.8979 0.0103 0.7628
O 0.4568 0.7500 0.1584
O 0.5432 0.2500 0.8416
O 0.4836 0.7500 0.5429
O 0.5164 0.2500 0.4571
CELL_PARAMETERS angstrom
-5.4005 2.7640 2.7032
-0.0667 -4.5507 4.5197
6.7858 2.8271 2.9467
```

Space group: P2_1/m, No. 11
Spin magnetization in μB/f.u.: 0.0
VASP energy in eV/atom: -6.98

Density functional theory data (PBE-GGA) for a geometry-optimized KNb5Pb2O15 structure. Values from VASP.

```
&SYSTEM
  ibrav = 0, nat = 46, ntyp = 4
/
ATOMIC_SPECIES
K 39.10 K.upf
Nb 92.91 Nb.upf
Pb 207.20 Pb.upf
O 16.00 O.upf
ATOMIC_POSITIONS crystal
K 0.5000 0.6597 0.9191
K 0.5000 0.1597 0.0809
Nb 0.0000 0.5631 0.4635
Nb 0.0000 0.4157 0.0307
Nb 0.0000 0.0631 0.5365
Nb 0.0000 0.9157 0.9693
Nb 0.0000 0.2763 0.3290
Nb 0.0000 0.7037 0.1727
Nb 0.0000 0.2037 0.8273
Nb 0.0000 0.7763 0.6710
Nb 0.0000 0.4940 0.7544
Nb 0.0000 0.9940 0.2456
Pb 0.5000 0.4753 0.2421
Pb 0.5000 0.9753 0.7579
Pb 0.5000 0.7704 0.3833
Pb 0.5000 0.2704 0.6167
O 0.5000 0.5926 0.4484
O 0.5000 0.4305 0.0466
O 0.5000 0.0926 0.5516
O 0.5000 0.9305 0.9534
O 0.5000 0.3075 0.3212
O 0.5000 0.7177 0.1842
O 0.5000 0.2177 0.8158
O 0.5000 0.8075 0.6788
O 0.0000 0.7210 0.5361
O 0.0000 0.2875 0.9638
O 0.0000 0.2210 0.4639
O 0.0000 0.7875 0.0362
O 0.0000 0.5071 0.5951
O 0.0000 0.5038 0.9079
O 0.0000 0.0071 0.4049
O 0.0000 0.0038 0.0921
O 0.0000 0.1618 0.2477
O 0.0000 0.8518 0.2543
O 0.0000 0.3518 0.7457
O 0.0000 0.6618 0.7523
O 0.0000 0.6618 0.3229
O 0.0000 0.3737 0.1809
O 0.0000 0.1618 0.6771
O 0.0000 0.8737 0.8191
O 0.0000 0.4432 0.3854
O 0.0000 0.5767 0.1106
O 0.0000 0.0767 0.8894
O 0.0000 0.9432 0.6146
O 0.5000 0.5094 0.7525
O 0.5000 0.0094 0.2475
CELL_PARAMETERS angstrom
3.9604 0.0000 0.0000
0.0000 13.1995 0.0000
0.0000 0.0000 12.8949
```

Relative energy among the computed polymorphs in eV/atom: 0.003
Space group: Pmc2_1, No. 26
Spin magnetization in μB/f.u.: 0.0